The following is a DFT calculation (PBE) of crystalline SnBiPt3 at its relaxed geometry.

VASP energy: -4.676 eV per atom
Excess energy over the best structure of this formula in the dataset: 0 kJ/mol of formula units
ΔH_f (0 K): 50.6 kJ per mole of atoms

abc: 4.964 4.964 4.964
angles: 90.00 90.00 90.00
Space group Pm-3m (No. 221)
One atom of each set of equivalent atoms:
Sn: 0.000 0.000 0.000 (multiplicity 1)
Bi: 0.500 0.500 0.500 (multiplicity 1)
Pt: 0.000 0.000 0.500 (multiplicity 3)